# PBE Cr2ReAu, optimized geometry
# * total magnetization: 0.00 μB per cell
# * energy of formation from the pure elements: 0.344 eV per atom
data_Cr2ReAu
_chemical_formula_sum 'Cr2 Re1 Au1'
_symmetry_space_group_name_H-M 'P 1'
_symmetry_Int_Tables_number 1
_cell_length_a 4.9052
_cell_length_b 4.9052
_cell_length_c 4.5005
_cell_angle_alpha 109.98
_cell_angle_beta 109.98
_cell_angle_gamma 33.73
loop_
_symmetry_equiv_pos_as_xyz
'x,y,z'
loop_
_atom_site_label
_atom_site_fract_x
_atom_site_fract_y
_atom_site_fract_z
Cr1 0.0000 0.0000 0.0000
Cr2 0.6934 0.6934 0.2682
Re1 0.4540 0.4540 0.4583
Au1 0.2361 0.2361 0.8012